Record 1
Computed, not measured: a relaxed Na4Er3AlS8 crystal at the PBE level of DFT.

a = 8.0290 Å, b = 8.0290 Å, c = 8.0290 Å
α = 57.58°, β = 57.58°, γ = 57.58°
With the nearest neighbours (Å) after each atom.
Fractional positions:
Na1 0.0000 0.0000 0.0000  6 S 3.04
Na2 0.0000 0.5000 0.5000  6 S 2.88
Na3 0.5000 0.0000 0.5000  6 S 2.88
Na4 0.5000 0.5000 0.0000  6 S 2.88
Er1 0.0000 0.0000 0.5000  6 S 2.70-2.72
Er2 0.0000 0.5000 0.0000  6 S 2.70-2.72
Er3 0.5000 0.0000 0.0000  6 S 2.70-2.72
Al1 0.5000 0.5000 0.5000  6 S 2.54
S1 0.2423 0.2423 0.2423  3 Er 2.70, 3 Na 2.88
S2 0.2604 0.7277 0.7277  1 Al 2.54, 2 Er 2.72
S3 0.2723 0.2723 0.7396  1 Al 2.54, 2 Er 2.72
S4 0.2723 0.7396 0.2723  1 Al 2.54, 2 Er 2.72
S5 0.7277 0.2604 0.7277  1 Al 2.54, 2 Er 2.72
S6 0.7277 0.7277 0.2604  1 Al 2.54, 2 Er 2.72
S7 0.7396 0.2723 0.2723  1 Al 2.54, 2 Er 2.72
S8 0.7577 0.7577 0.7577  3 Er 2.70, 3 Na 2.88

Results
Raw total energy: -5.126 eV/atom
Space group: R-3m (166)
Formation energy from raw total energies: -1.643 eV/atom

Record 2
Computed, not measured: a relaxed Na3Er2AlSe6 crystal at the PBE level of DFT.

a = 6.9622 Å, b = 6.9622 Å, c = 7.3721 Å
α = 99.09°, β = 99.09°, γ = 120.05°
With the nearest neighbours (Å) after each atom.
Fractional positions:
Na1 0.0000 0.0000 0.0000  6 Se 2.98-3.18
Na2 0.3308 0.6692 0.0000  6 Se 2.99-3.13
Na3 0.6692 0.3308 0.0000  6 Se 2.99-3.13
Er1 0.1664 0.8336 0.5000  6 Se 2.84-2.85
Er2 0.8336 0.1664 0.5000  6 Se 2.84-2.85
Al1 0.5000 0.5000 0.5000  6 Se 2.63-2.66
Se1 0.1153 0.4268 0.2804  1 Al 2.66, 2 Er 2.85
Se2 0.2634 0.2634 0.7171  1 Al 2.63, 2 Er 2.84
Se3 0.4268 0.1153 0.2804  1 Al 2.66, 2 Er 2.85
Se4 0.5732 0.8847 0.7196  1 Al 2.66, 2 Er 2.85
Se5 0.7366 0.7366 0.2829  1 Al 2.63, 2 Er 2.84
Se6 0.8847 0.5732 0.7196  1 Al 2.66, 2 Er 2.85

Results
Raw total energy: -4.579 eV/atom
Space group: C2/m (12)
Formation energy from raw total energies: -1.435 eV/atom

Record 3
Computed, not measured: a relaxed Na4Er3AlSe8 crystal at the PBE level of DFT.

a = 8.4156 Å, b = 8.4156 Å, c = 8.4156 Å
α = 57.41°, β = 57.41°, γ = 57.41°
With the nearest neighbours (Å) after each atom.
Fractional positions:
Na1 0.0000 0.0000 0.0000  6 Se 3.16
Na2 0.0000 0.5000 0.5000  6 Se 3.00-3.01
Na3 0.5000 0.0000 0.5000  6 Se 3.00-3.01
Na4 0.5000 0.5000 0.0000  6 Se 3.00-3.01
Er1 0.0000 0.0000 0.5000  6 Se 2.83-2.85
Er2 0.0000 0.5000 0.0000  6 Se 2.83-2.85
Er3 0.5000 0.0000 0.0000  6 Se 2.83-2.85
Al1 0.5000 0.5000 0.5000  6 Se 2.68
Se1 0.2431 0.2431 0.2431  3 Er 2.83, 3 Na 3.01
Se2 0.2595 0.7297 0.7297  1 Al 2.68, 2 Er 2.85
Se3 0.2703 0.2703 0.7405  1 Al 2.68, 2 Er 2.85
Se4 0.2703 0.7405 0.2703  1 Al 2.68, 2 Er 2.85
Se5 0.7297 0.2595 0.7297  1 Al 2.68, 2 Er 2.85
Se6 0.7297 0.7297 0.2595  1 Al 2.68, 2 Er 2.85
Se7 0.7405 0.2703 0.2703  1 Al 2.68, 2 Er 2.85
Se8 0.7569 0.7569 0.7569  3 Er 2.83, 3 Na 3.01

Results
Raw total energy: -4.654 eV/atom
Space group: R-3m (166)
Formation energy from raw total energies: -1.493 eV/atom

Record 4
Computed, not measured: a relaxed Na2ErAlSe4 crystal at the PBE level of DFT.

a = 8.1097 Å, b = 8.1097 Å, c = 8.1097 Å
α = 121.81°, β = 118.62°, γ = 89.65°
With the nearest neighbours (Å) after each atom.
Fractional positions:
Na1 0.0000 0.0000 0.0000  6 Se 2.90-2.92
Na2 0.5000 0.0000 0.0000  6 Se 3.05-3.08
Na3 0.5000 0.0000 0.5000  6 Se 2.90-2.92
Na4 0.5000 0.5000 0.5000  6 Se 3.05-3.08
Er1 0.0000 0.5000 0.5000  6 Se 2.83-2.86
Er2 0.5000 0.5000 0.0000  6 Se 2.83-2.86
Al1 0.0000 0.0000 0.5000  6 Se 2.65-2.70
Al2 0.0000 0.5000 0.0000  6 Se 2.65-2.70
Se1 0.2113 0.7477 0.4636  2 Al 2.65, 1 Er 2.86, 1 Na 2.92
Se2 0.2159 0.2523 0.9636  2 Al 2.65, 1 Er 2.86, 1 Na 2.92
Se3 0.2348 0.2406 0.5058  1 Al 2.70, 2 Er 2.83, 2 Na 2.90
Se4 0.2348 0.7290 0.9942  1 Al 2.70, 2 Er 2.83, 2 Na 2.90
Se5 0.7652 0.2710 0.0058  1 Al 2.70, 2 Er 2.83, 2 Na 2.90
Se6 0.7652 0.7594 0.4942  1 Al 2.70, 2 Er 2.83, 2 Na 2.90
Se7 0.7841 0.7477 0.0364  2 Al 2.65, 1 Er 2.86, 1 Na 2.92
Se8 0.7887 0.2523 0.5364  2 Al 2.65, 1 Er 2.86, 1 Na 2.92

Results
Raw total energy: -4.398 eV/atom
Space group: Imma (74)
Formation energy from raw total energies: -1.288 eV/atom

Record 5
Computed, not measured: a relaxed NaTbErAl crystal at the PBE level of DFT.

a = 7.4582 Å, b = 7.4582 Å, c = 7.4582 Å
α = 90.00°, β = 90.00°, γ = 90.00°
With the nearest neighbours (Å) after each atom.
Fractional positions:
Na1 0.0000 0.0000 0.0000  4 Er 3.23, 4 Tb 3.23
Na2 0.0000 0.5000 0.5000  4 Er 3.23, 4 Tb 3.23
Na3 0.5000 0.0000 0.5000  4 Er 3.23, 4 Tb 3.23
Na4 0.5000 0.5000 0.0000  4 Er 3.23, 4 Tb 3.23
Tb1 0.2500 0.2500 0.2500  4 Na 3.23, 4 Al 3.23
Tb2 0.2500 0.7500 0.7500  4 Na 3.23, 4 Al 3.23
Tb3 0.7500 0.2500 0.7500  4 Na 3.23, 4 Al 3.23
Tb4 0.7500 0.7500 0.2500  4 Na 3.23, 4 Al 3.23
Er1 0.2500 0.2500 0.7500  4 Na 3.23, 4 Al 3.23
Er2 0.2500 0.7500 0.2500  4 Na 3.23, 4 Al 3.23
Er3 0.7500 0.2500 0.2500  4 Na 3.23, 4 Al 3.23
Er4 0.7500 0.7500 0.7500  4 Na 3.23, 4 Al 3.23
Al1 0.0000 0.0000 0.5000  4 Tb 3.23, 4 Er 3.23
Al2 0.0000 0.5000 0.0000  4 Tb 3.23, 4 Er 3.23
Al3 0.5000 0.0000 0.0000  4 Tb 3.23, 4 Er 3.23
Al4 0.5000 0.5000 0.5000  4 Tb 3.23, 4 Er 3.23

Results
Raw total energy: -3.594 eV/atom
Space group: F-43m (216)
DFT formation energy: -0.03 eV/atom

Record 6
Computed, not measured: a relaxed Na3Er3AlTe8 crystal at the PBE level of DFT.

a = 8.5453 Å, b = 8.5453 Å, c = 9.2324 Å
α = 117.62°, β = 117.62°, γ = 59.95°
With the nearest neighbours (Å) after each atom.
Fractional positions:
Na1 0.0000 0.0000 0.0000  6 Te 3.24-3.26
Na2 0.0000 0.5000 0.0000  6 Te 3.24-3.26
Na3 0.5000 0.0000 0.0000  6 Te 3.24-3.26
Er1 0.0000 0.5000 0.5000  6 Te 3.05-3.06
Er2 0.5000 0.0000 0.5000  6 Te 3.05-3.06
Er3 0.5000 0.5000 0.5000  6 Te 3.05-3.06
Al1 0.0000 0.0000 0.5000  6 Te 2.88
Te1 0.2296 0.2296 0.7174  1 Al 2.88, 2 Er 3.05
Te2 0.2298 0.7583 0.7176  1 Al 2.88, 2 Er 3.05-3.06
Te3 0.2417 0.7702 0.2824  1 Al 2.88, 2 Er 3.05-3.06
Te4 0.2562 0.2562 0.2689  3 Er 3.05-3.06, 3 Na 3.24
Te5 0.7438 0.7438 0.7311  3 Er 3.05-3.06, 3 Na 3.24
Te6 0.7583 0.2298 0.7176  1 Al 2.88, 2 Er 3.05-3.06
Te7 0.7702 0.2417 0.2824  1 Al 2.88, 2 Er 3.05-3.06
Te8 0.7704 0.7704 0.2826  1 Al 2.88, 2 Er 3.05

Results
Raw total energy: -4.142 eV/atom
Space group: C2/m (12)
Formation energy from raw total energies: -1.041 eV/atom